Entry 1:
# MnRh2I8 | the Alexandria database | GGA-PBE | relaxed
# VASP energy = -74.28 eV per cell
data_MnRh2I8
_chemical_formula_sum 'Mn2 Rh4 I16'
_symmetry_space_group_name_H-M 'C 1 2/m 1'
_symmetry_Int_Tables_number 12
_symmetry_space_group_name_Hall '-C 2y'
_cell_length_a 12.007
_cell_length_b 9.829
_cell_length_c 8.358
_cell_angle_alpha 90.00
_cell_angle_beta 97.35
_cell_angle_gamma 90.00
loop_
_atom_site_label
_atom_site_type_symbol
_atom_site_fract_x
_atom_site_fract_y
_atom_site_fract_z
_atom_site_occupancy
Mn1 Mn 0.000 0.000 0.000 1
Rh1 Rh 0.129 0.000 0.363 1
I1 I 0.099 0.000 0.680 1
I2 I 0.149 0.186 0.145 1
I3 I 0.155 0.500 0.543 1

---

Entry 2:
# MnRhI3 | the Alexandria database | GGA-PBE | relaxed
# VASP energy = -19.17 eV per cell
# offset from the most stable computed form = 0.0000 eV per atom
data_MnRhI3
_chemical_formula_sum 'Mn1 Rh1 I3'
_symmetry_space_group_name_H-M 'P m -3 m'
_symmetry_Int_Tables_number 221
_symmetry_space_group_name_Hall '-P 4 2 3'
_cell_length_a 5.415
_cell_length_b 5.415
_cell_length_c 5.415
_cell_angle_alpha 90.00
_cell_angle_beta 90.00
_cell_angle_gamma 90.00
loop_
_atom_site_label
_atom_site_type_symbol
_atom_site_fract_x
_atom_site_fract_y
_atom_site_fract_z
_atom_site_occupancy
Mn1 Mn 0.000 0.000 0.000 1
Rh1 Rh 0.500 0.500 0.500 1
I1 I 0.000 0.500 0.500 1

---

Entry 3:
# Mn2RhI8 | the Alexandria database | GGA-PBE | relaxed
# VASP energy = -82.12 eV per cell
data_Mn2RhI8
_chemical_formula_sum 'Mn4 Rh2 I16'
_symmetry_space_group_name_H-M 'C 1 2/m 1'
_symmetry_Int_Tables_number 12
_symmetry_space_group_name_Hall '-C 2y'
_cell_length_a 14.467
_cell_length_b 9.142
_cell_length_c 6.938
_cell_angle_alpha 90.00
_cell_angle_beta 90.35
_cell_angle_gamma 90.00
loop_
_atom_site_label
_atom_site_type_symbol
_atom_site_fract_x
_atom_site_fract_y
_atom_site_fract_z
_atom_site_occupancy
Mn1 Mn 0.162 0.000 0.422 1
Rh1 Rh 0.000 0.000 0.000 1
I1 I 0.071 0.211 0.232 1
I2 I 0.161 0.500 0.617 1
I3 I 0.163 0.000 0.806 1

---

Entry 4:
# MnSbRhI2 | the Alexandria database | GGA-PBE | relaxed
# VASP energy = -19.24 eV per cell
# offset from the most stable computed form = 0.3605 eV per atom
data_MnSbRhI2
_chemical_formula_sum 'Mn1 Sb1 Rh1 I2'
_symmetry_space_group_name_H-M 'P 4/m m m'
_symmetry_Int_Tables_number 123
_symmetry_space_group_name_Hall '-P 4 2'
_cell_length_a 5.307
_cell_length_b 5.307
_cell_length_c 5.140
_cell_angle_alpha 90.00
_cell_angle_beta 90.00
_cell_angle_gamma 90.00
loop_
_atom_site_label
_atom_site_type_symbol
_atom_site_fract_x
_atom_site_fract_y
_atom_site_fract_z
_atom_site_occupancy
Mn1 Mn 0.000 0.000 0.000 1
Sb1 Sb 0.000 0.000 0.500 1
Rh1 Rh 0.500 0.500 0.500 1
I1 I 0.000 0.500 0.000 1

---

Entry 5:
# MnSbRhI2 | the Alexandria database | GGA-PBE | relaxed
# VASP energy = -21.04 eV per cell
# offset from the most stable computed form = 0.0000 eV per atom
data_MnSbRhI2
_chemical_formula_sum 'Mn1 Sb1 Rh1 I2'
_symmetry_space_group_name_H-M 'P 4/m m m'
_symmetry_Int_Tables_number 123
_symmetry_space_group_name_Hall '-P 4 2'
_cell_length_a 5.538
_cell_length_b 5.538
_cell_length_c 5.060
_cell_angle_alpha 90.00
_cell_angle_beta 90.00
_cell_angle_gamma 90.00
loop_
_atom_site_label
_atom_site_type_symbol
_atom_site_fract_x
_atom_site_fract_y
_atom_site_fract_z
_atom_site_occupancy
Mn1 Mn 0.000 0.000 0.000 1
Sb1 Sb 0.500 0.500 0.000 1
Rh1 Rh 0.500 0.500 0.500 1
I1 I 0.000 0.500 0.500 1

---

Entry 6:
# Mn2SnRhI | the Alexandria database | GGA-PBE | relaxed
# VASP energy = -26.19 eV per cell
data_Mn2SnRhI
_chemical_formula_sum 'Mn2 Sn1 Rh1 I1'
_symmetry_space_group_name_H-M 'P 4/m m m'
_symmetry_Int_Tables_number 123
_symmetry_space_group_name_Hall '-P 4 2'
_cell_length_a 4.873
_cell_length_b 4.873
_cell_length_c 4.908
_cell_angle_alpha 90.00
_cell_angle_beta 90.00
_cell_angle_gamma 90.00
loop_
_atom_site_label
_atom_site_type_symbol
_atom_site_fract_x
_atom_site_fract_y
_atom_site_fract_z
_atom_site_occupancy
Mn1 Mn 0.000 0.500 0.000 1
Sn1 Sn 0.000 0.000 0.500 1
Rh1 Rh 0.500 0.500 0.500 1
I1 I 0.500 0.500 0.000 1

---

Entry 7:
# SrMnRh2I | the Alexandria database | GGA-PBE | relaxed
# VASP energy = -20.10 eV per cell
data_SrMnRh2I
_chemical_formula_sum 'Sr1 Mn1 Rh2 I1'
_symmetry_space_group_name_H-M 'P 4/m m m'
_symmetry_Int_Tables_number 123
_symmetry_space_group_name_Hall '-P 4 2'
_cell_length_a 5.031
_cell_length_b 5.031
_cell_length_c 5.980
_cell_angle_alpha 90.00
_cell_angle_beta 90.00
_cell_angle_gamma 90.00
loop_
_atom_site_label
_atom_site_type_symbol
_atom_site_fract_x
_atom_site_fract_y
_atom_site_fract_z
_atom_site_occupancy
Sr1 Sr 0.000 0.000 0.000 1
Mn1 Mn 0.500 0.500 0.500 1
Rh1 Rh 0.000 0.500 0.000 1
I1 I 0.000 0.000 0.500 1

---

Entry 8:
# MnTeRhI2 | the Alexandria database | GGA-PBE | relaxed
# VASP energy = -20.42 eV per cell
# offset from the most stable computed form = 0.0000 eV per atom
data_MnTeRhI2
_chemical_formula_sum 'Mn1 Te1 Rh1 I2'
_symmetry_space_group_name_H-M 'P 4/m m m'
_symmetry_Int_Tables_number 123
_symmetry_space_group_name_Hall '-P 4 2'
_cell_length_a 5.399
_cell_length_b 5.399
_cell_length_c 5.278
_cell_angle_alpha 90.00
_cell_angle_beta 90.00
_cell_angle_gamma 90.00
loop_
_atom_site_label
_atom_site_type_symbol
_atom_site_fract_x
_atom_site_fract_y
_atom_site_fract_z
_atom_site_occupancy
Mn1 Mn 0.000 0.000 0.000 1
Te1 Te 0.500 0.500 0.000 1
Rh1 Rh 0.500 0.500 0.500 1
I1 I 0.000 0.500 0.500 1

---

Entry 9:
# MnTe2RhI | the Alexandria database | GGA-PBE | relaxed
# VASP energy = -18.98 eV per cell
# offset from the most stable computed form = 0.1574 eV per atom
data_MnTe2RhI
_chemical_formula_sum 'Mn1 Te2 Rh1 I1'
_symmetry_space_group_name_H-M 'P 4/m m m'
_symmetry_Int_Tables_number 123
_symmetry_space_group_name_Hall '-P 4 2'
_cell_length_a 5.198
_cell_length_b 5.198
_cell_length_c 5.361
_cell_angle_alpha 90.00
_cell_angle_beta 90.00
_cell_angle_gamma 90.00
loop_
_atom_site_label
_atom_site_type_symbol
_atom_site_fract_x
_atom_site_fract_y
_atom_site_fract_z
_atom_site_occupancy
Mn1 Mn 0.000 0.000 0.000 1
Te1 Te 0.000 0.500 0.500 1
Rh1 Rh 0.500 0.500 0.500 1
I1 I 0.500 0.500 0.000 1

---

Entry 10:
# MnTe2RhI | the Alexandria database | GGA-PBE | relaxed
# VASP energy = -19.77 eV per cell
# offset from the most stable computed form = 0.0000 eV per atom
data_MnTe2RhI
_chemical_formula_sum 'Mn1 Te2 Rh1 I1'
_symmetry_space_group_name_H-M 'P 4/m m m'
_symmetry_Int_Tables_number 123
_symmetry_space_group_name_Hall '-P 4 2'
_cell_length_a 4.854
_cell_length_b 4.854
_cell_length_c 5.520
_cell_angle_alpha 90.00
_cell_angle_beta 90.00
_cell_angle_gamma 90.00
loop_
_atom_site_label
_atom_site_type_symbol
_atom_site_fract_x
_atom_site_fract_y
_atom_site_fract_z
_atom_site_occupancy
Mn1 Mn 0.000 0.000 0.000 1
Te1 Te 0.000 0.500 0.000 1
Rh1 Rh 0.500 0.500 0.500 1
I1 I 0.000 0.000 0.500 1

---

Entry 11:
# MnTeRhI2 | the Alexandria database | GGA-PBE | relaxed
# VASP energy = -17.63 eV per cell
# offset from the most stable computed form = 0.5575 eV per atom
data_MnTeRhI2
_chemical_formula_sum 'Mn1 Te1 Rh1 I2'
_symmetry_space_group_name_H-M 'P 4/m m m'
_symmetry_Int_Tables_number 123
_symmetry_space_group_name_Hall '-P 4 2'
_cell_length_a 5.331
_cell_length_b 5.331
_cell_length_c 4.811
_cell_angle_alpha 90.00
_cell_angle_beta 90.00
_cell_angle_gamma 90.00
loop_
_atom_site_label
_atom_site_type_symbol
_atom_site_fract_x
_atom_site_fract_y
_atom_site_fract_z
_atom_site_occupancy
Mn1 Mn 0.000 0.000 0.000 1
Te1 Te 0.000 0.000 0.500 1
Rh1 Rh 0.500 0.500 0.500 1
I1 I 0.000 0.500 0.000 1

---

Entry 12:
# MnVRh2I | the Alexandria database | GGA-PBE | relaxed
# VASP energy = -28.27 eV per cell
data_MnVRh2I
_chemical_formula_sum 'Mn1 V1 Rh2 I1'
_symmetry_space_group_name_H-M 'P 4/m m m'
_symmetry_Int_Tables_number 123
_symmetry_space_group_name_Hall '-P 4 2'
_cell_length_a 4.833
_cell_length_b 4.833
_cell_length_c 4.815
_cell_angle_alpha 90.00
_cell_angle_beta 90.00
_cell_angle_gamma 90.00
loop_
_atom_site_label
_atom_site_type_symbol
_atom_site_fract_x
_atom_site_fract_y
_atom_site_fract_z
_atom_site_occupancy
Mn1 Mn 0.000 0.000 0.000 1
V1 V 0.500 0.500 0.000 1
Rh1 Rh 0.000 0.500 0.500 1
I1 I 0.500 0.500 0.500 1